Entry 1:
## RbCaTlSiTeF (PBE-GGA)

Data for RbCaTlSiTeF after structural relaxation.

Values from the calculation:
* M_tot: 0.0000 μB per atom
* crystal system: monoclinic
* ΔE to the lowest computed polymorph: 0.056 eV/atom
* formation energy from raw total energies: -1.06 eV/atom

Unit cell a=11.9038 b=4.6417 c=8.5491 alpha=90.00 beta=117.40 gamma=90.00
Space group Cm (No. 8)
Asymmetric unit:
Rb 0.0000 0.0000 0.0000 x2
Ca 0.1666 0.5000 0.4588 x2
Tl 0.3642 0.0000 0.4561 x2
Si 0.4900 0.5000 0.4567 x2
Te 0.1994 0.0000 0.7515 x2
F 0.0960 0.5000 0.1816 x2

=====

Entry 2:
## RbCaTlSiTeF (PBE-GGA)

Data for RbCaTlSiTeF after structural relaxation.

Values from the calculation:
* M_tot: 0.0000 μB per atom
* crystal system: triclinic
* ΔE to the lowest computed polymorph: 0.000 eV/atom
* formation energy from raw total energies: -1.12 eV/atom

Unit cell a=4.6940 b=4.7139 c=8.9313 alpha=87.32 beta=79.53 gamma=82.08
Space group P1 (No. 1)
Asymmetric unit:
Rb 0.0000 0.0000 0.0000 x1
Ca 0.3514 0.0661 0.3908 x1
Tl 0.5334 0.3613 0.6963 x1
Si 0.9539 0.7495 0.6434 x1
Te 0.8610 0.5718 0.3790 x1
F 0.4371 0.0769 0.1470 x1

=====

Entry 3:
## RbCaTlSiTeF (PBE-GGA)

Data for RbCaTlSiTeF after structural relaxation.

Values from the calculation:
* M_tot: 0.0000 μB per atom
* crystal system: monoclinic
* ΔE to the lowest computed polymorph: 0.090 eV/atom
* formation energy from raw total energies: -1.03 eV/atom

Unit cell a=14.9420 b=3.7514 c=6.5072 alpha=90.00 beta=92.11 gamma=90.00
Space group Cm (No. 8)
Asymmetric unit:
Rb 0.0000 0.0000 0.0000 x2
Ca 0.2687 0.5000 0.2277 x2
Tl 0.4915 0.0000 0.5255 x2
Si 0.1366 0.0000 0.4318 x2
Te 0.1920 0.5000 0.7257 x2
F 0.3509 0.0000 0.1606 x2

=====

Entry 4:
## Rb2Ca3SmF12 (PBE-GGA)

Data for Rb2Ca3SmF12 after structural relaxation.

Values from the calculation:
* M_tot: 0.0734 μB per atom
* crystal system: trigonal
* formation energy from raw total energies: -3.40 eV/atom

Unit cell a=8.1327 b=8.1327 c=21.0471 alpha=90.00 beta=90.00 gamma=120.00
Space group R-3m (No. 166, hexagonal axes)
Asymmetric unit:
Rb 0.0000 0.0000 0.0935 x6
Ca 0.0000 0.5000 0.0000 x9
Sm 0.0000 0.0000 0.5000 x3
F 0.0470 0.5235 0.3588 x18
F 0.0752 0.5376 0.1041 x18

=====

Entry 5:
## Rb2SrCaF6 (PBE-GGA)

Data for Rb2SrCaF6 after structural relaxation.

Values from the calculation:
* M_tot: 0.0211 μB per atom
* crystal system: monoclinic
* ΔE to the lowest computed polymorph: 0.000 eV/atom
* formation energy from raw total energies: -3.44 eV/atom

Unit cell a=6.4921 b=6.5456 c=11.2553 alpha=90.00 beta=125.09 gamma=90.00
Space group P2_1/c (No. 14)
Asymmetric unit:
Rb 0.2432 0.0301 0.2500 x4
Sr 0.5000 0.0000 0.0000 x2
Ca 0.0000 0.0000 0.5000 x2
F 0.1699 0.2233 0.9629 x4
F 0.2416 0.7083 0.9647 x4
F 0.3103 0.0207 0.7420 x4

=====

Entry 6:
## Rb2SrCaF6 (PBE-GGA)

Data for Rb2SrCaF6 after structural relaxation.

Values from the calculation:
* M_tot: 0.0000 μB per atom
* crystal system: cubic
* ΔE to the lowest computed polymorph: 0.012 eV/atom
* formation energy from raw total energies: -3.43 eV/atom

Unit cell a=9.2929 b=9.2929 c=9.2929 alpha=90.00 beta=90.00 gamma=90.00
Space group Fm-3m (No. 225)
Asymmetric unit:
Rb 0.2500 0.2500 0.2500 x8
Sr 0.0000 0.0000 0.0000 x4
Ca 0.0000 0.0000 0.5000 x4
F 0.0000 0.0000 0.2574 x24

=====

Entry 7:
## Rb2CaTaF6 (PBE-GGA)

Data for Rb2CaTaF6 after structural relaxation.

Values from the calculation:
* M_tot: 0.2979 μB per atom
* crystal system: cubic
* formation energy from raw total energies: -2.71 eV/atom

Unit cell a=8.9352 b=8.9352 c=8.9352 alpha=90.00 beta=90.00 gamma=90.00
Space group Fm-3m (No. 225)
Asymmetric unit:
Rb 0.2500 0.2500 0.2500 x8
Ca 0.0000 0.0000 0.0000 x4
Ta 0.0000 0.0000 0.5000 x4
F 0.0000 0.0000 0.2523 x24

=====

Entry 8:
## RbCaTbF6 (PBE-GGA)

Data for RbCaTbF6 after structural relaxation.

Values from the calculation:
* M_tot: 0.0111 μB per atom
* crystal system: orthorhombic
* formation energy from raw total energies: -3.72 eV/atom

Unit cell a=8.1461 b=8.4005 c=11.9225 alpha=90.00 beta=90.00 gamma=90.00
Space group Imma (No. 74)
Asymmetric unit:
Rb 0.0000 0.2500 0.0508 x4
Ca 0.2500 0.2500 0.7500 x4
Tb 0.0000 0.0000 0.5000 x4
F 0.0000 0.2500 0.4384 x4
F 0.0000 0.2500 0.8244 x4
F 0.1978 0.0606 0.6169 x16

=====

Entry 9:
## Rb2CaTcF (PBE-GGA)

Data for Rb2CaTcF after structural relaxation.

Values from the calculation:
* M_tot: 0.6080 μB per atom
* crystal system: tetragonal
* formation energy from raw total energies: 0.29 eV/atom

Unit cell a=7.4706 b=7.4706 c=4.1631 alpha=90.00 beta=90.00 gamma=90.00
Space group P4/mmm (No. 123)
Asymmetric unit:
Rb 0.0000 0.5000 0.0000 x2
Ca 0.0000 0.0000 0.5000 x1
Tc 0.5000 0.5000 0.0000 x1
F 0.5000 0.5000 0.5000 x1

=====

Entry 10:
## Rb2CaTiF6 (PBE-GGA)

Data for Rb2CaTiF6 after structural relaxation.

Values from the calculation:
* M_tot: 0.2000 μB per atom
* crystal system: cubic
* formation energy from raw total energies: -3.11 eV/atom

Unit cell a=8.7950 b=8.7950 c=8.7950 alpha=90.00 beta=90.00 gamma=90.00
Space group Fm-3m (No. 225)
Asymmetric unit:
Rb 0.2500 0.2500 0.2500 x8
Ca 0.0000 0.0000 0.0000 x4
Ti 0.0000 0.0000 0.5000 x4
F 0.0000 0.0000 0.2567 x24

=====

Entry 11:
## RbCa2TlF (PBE-GGA)

Data for RbCa2TlF after structural relaxation.

Values from the calculation:
* M_tot: 0.0000 μB per atom
* crystal system: tetragonal
* formation energy from raw total energies: 0.48 eV/atom

Unit cell a=7.2138 b=7.2138 c=6.1404 alpha=90.00 beta=90.00 gamma=90.00
Space group P4/mmm (No. 123)
Asymmetric unit:
Rb 0.0000 0.0000 0.0000 x1
Ca 0.0000 0.5000 0.0000 x2
Tl 0.0000 0.0000 0.5000 x1
F 0.5000 0.5000 0.5000 x1

=====

Entry 12:
## Rb2CaTlF6 (PBE-GGA)

Data for Rb2CaTlF6 after structural relaxation.

Values from the calculation:
* M_tot: 0.0981 μB per atom
* crystal system: cubic
* formation energy from raw total energies: -2.77 eV/atom

Unit cell a=9.2792 b=9.2792 c=9.2792 alpha=90.00 beta=90.00 gamma=90.00
Space group Fm-3m (No. 225)
Asymmetric unit:
Rb 0.2500 0.2500 0.2500 x8
Ca 0.0000 0.0000 0.0000 x4
Tl 0.0000 0.0000 0.5000 x4
F 0.0000 0.0000 0.2422 x24

=====

| no. | theoretical density (g cm⁻³) |
| --- | --- |
| 1 | 4.0 |
| 2 | 4.4 |
| 3 | 4.6 |
| 4 | 2.8 |
| 5 | 3.5 |
| 6 | 3.4 |
| 7 | 4.7 |
| 8 | 3.2 |
| 9 | 2.3 |
| 10 | 3.6 |
| 11 | 2.0 |
| 12 | 4.4 |